1.
A plane-wave DFT calculation with GGA-PBE was carried out for an optimized crystal structure of PW2.

Cell and atoms, written as CIF:
```
data_PW2
_space_group_name_H-M_alt 'C 1 2/m 1'
_space_group_IT_number 12
_space_group_name_Hall '-C 2y'
_cell_length_a 8.592
_cell_length_b 3.076
_cell_length_c 7.321
_cell_angle_alpha 90.00
_cell_angle_beta 110.48
_cell_angle_gamma 90.00
loop_
_atom_site_label
_atom_site_type_symbol
_atom_site_fract_x
_atom_site_fract_y
_atom_site_fract_z
P1 P 0.181 0.000 0.119
W1 W 0.009 0.500 0.797
W2 W 0.163 0.000 0.578
```

## Properties
Its density of states at the Fermi level is 0.534 states/eV per atom. Its energy of formation is -5 meV/atom. The calculation puts the spin magnetization at 0.0 μB per formula unit.

---

2.
A plane-wave DFT calculation with GGA-PBE was carried out for an optimized crystal structure of Cu5BPd6.

Cell and atoms, written as CIF:
```
data_Cu5BPd6
_space_group_name_H-M_alt 'C 1 2/m 1'
_space_group_IT_number 12
_space_group_name_Hall '-C 2y'
_cell_length_a 12.783
_cell_length_b 6.292
_cell_length_c 4.173
_cell_angle_alpha 90.00
_cell_angle_beta 108.77
_cell_angle_gamma 90.00
loop_
_atom_site_label
_atom_site_type_symbol
_atom_site_fract_x
_atom_site_fract_y
_atom_site_fract_z
Cu1 Cu 0.000 0.000 0.000
Cu2 Cu 0.160 0.000 0.659
Cu3 Cu 0.193 0.500 0.691
B1 B 0.000 0.500 0.000
Pd1 Pd 0.000 0.285 0.500
Pd2 Pd 0.151 0.279 0.150
```

## Properties
Its density of states at the Fermi level is 0.219 states/eV per atom. Its energy of formation is -95 meV/atom. The calculation puts the spin magnetization at 0.0 μB per formula unit.

---

3.
A plane-wave DFT calculation with GGA-PBE was carried out for an optimized crystal structure of Th3Co2Ge3.

Cell and atoms, written as CIF:
```
data_Th3Co2Ge3
_space_group_name_H-M_alt 'C m c m'
_space_group_IT_number 63
_space_group_name_Hall '-C 2c 2'
_cell_length_a 4.083
_cell_length_b 10.931
_cell_length_c 15.285
_cell_angle_alpha 90.00
_cell_angle_beta 90.00
_cell_angle_gamma 90.00
loop_
_atom_site_label
_atom_site_type_symbol
_atom_site_fract_x
_atom_site_fract_y
_atom_site_fract_z
Th1 Th 0.000 0.084 0.250
Th2 Th 0.000 0.359 0.093
Co1 Co 0.000 0.352 0.626
Ge1 Ge 0.000 0.087 0.054
Ge2 Ge 0.000 0.201 0.750
```

## Properties
Its density of states at the Fermi level is 0.728 states/eV per atom. Its energy of formation is -674 meV/atom. The calculation puts the spin magnetization at 0.0 μB per formula unit.

---

4.
A plane-wave DFT calculation with GGA-PBE was carried out for an optimized crystal structure of Y4Bi2Ru.

Cell and atoms, written as CIF:
```
data_Y4Bi2Ru
_space_group_name_H-M_alt 'I 4/m m m'
_space_group_IT_number 139
_space_group_name_Hall '-I 4 2'
_cell_length_a 5.186
_cell_length_b 5.186
_cell_length_c 16.337
_cell_angle_alpha 90.00
_cell_angle_beta 90.00
_cell_angle_gamma 90.00
loop_
_atom_site_label
_atom_site_type_symbol
_atom_site_fract_x
_atom_site_fract_y
_atom_site_fract_z
Y1 Y 0.000 0.000 0.169
Y2 Y 0.000 0.500 0.000
Bi1 Bi 0.000 0.000 0.361
Ru1 Ru 0.000 0.000 0.000
```

## Properties
Its density of states at the Fermi level is 0.732 states/eV per atom. Its energy of formation is -452 meV/atom. The calculation puts the spin magnetization at 0.0 μB per formula unit. For the distance to the lowest polymorph of the same formula, the calculation gives 0.084 eV/atom.

---

5.
A plane-wave DFT calculation with GGA-PBE was carried out for an optimized crystal structure of MgTlCo3.

Cell and atoms, written as CIF:
```
data_MgTlCo3
_space_group_name_H-M_alt 'P m -3 m'
_space_group_IT_number 221
_space_group_name_Hall '-P 4 2 3'
_cell_length_a 4.454
_cell_length_b 4.454
_cell_length_c 4.454
_cell_angle_alpha 90.00
_cell_angle_beta 90.00
_cell_angle_gamma 90.00
loop_
_atom_site_label
_atom_site_type_symbol
_atom_site_fract_x
_atom_site_fract_y
_atom_site_fract_z
Mg1 Mg 0.000 0.000 0.000
Tl1 Tl 0.500 0.500 0.500
Co1 Co 0.000 0.000 0.500
```

## Properties
Its density of states at the Fermi level is 0.914 states/eV per atom. Its energy of formation is 1297 meV/atom. The calculation puts the spin magnetization at 4.3 μB per formula unit. For the distance to the lowest polymorph of the same formula, the calculation gives 0.000 eV/atom.

---

6.
A plane-wave DFT calculation with GGA-PBE was carried out for an optimized crystal structure of Cs2CuBr6O.

Cell and atoms, written as CIF:
```
data_Cs2CuBr6O
_space_group_name_H-M_alt 'I 4/m m m'
_space_group_IT_number 139
_space_group_name_Hall '-I 4 2'
_cell_length_a 7.199
_cell_length_b 7.199
_cell_length_c 11.838
_cell_angle_alpha 90.00
_cell_angle_beta 90.00
_cell_angle_gamma 90.00
loop_
_atom_site_label
_atom_site_type_symbol
_atom_site_fract_x
_atom_site_fract_y
_atom_site_fract_z
Cs1 Cs 0.000 0.500 0.250
Cu1 Cu 0.000 0.000 0.000
Br1 Br 0.000 0.000 0.197
Br2 Br 0.228 0.228 0.500
O1 O 0.000 0.000 0.500
```

## Properties
Its density of states at the Fermi level is 0.672 states/eV per atom. The calculation puts the spin magnetization at 0.0 μB per formula unit. As for the uncorrected formation energy: -0.63 eV per atom.

---

7.
A plane-wave DFT calculation with GGA-PBE was carried out for an optimized crystal structure of DyErCd6.

Cell and atoms, written as CIF:
```
data_DyErCd6
_space_group_name_H-M_alt 'A m m 2'
_space_group_IT_number 38
_space_group_name_Hall 'A 2 -2'
_cell_length_a 4.871
_cell_length_b 7.160
_cell_length_c 10.833
_cell_angle_alpha 90.00
_cell_angle_beta 90.00
_cell_angle_gamma 90.00
loop_
_atom_site_label
_atom_site_type_symbol
_atom_site_fract_x
_atom_site_fract_y
_atom_site_fract_z
Dy1 Dy 0.000 0.000 0.000
Er1 Er 0.500 0.000 0.732
Cd1 Cd 0.000 0.000 0.542
Cd2 Cd 0.000 0.217 0.271
Cd3 Cd 0.500 0.000 0.191
Cd4 Cd 0.500 0.216 0.461
```

## Properties
Its density of states at the Fermi level is 0.448 states/eV per atom. Its energy of formation is -272 meV/atom. The calculation puts the spin magnetization at 0.0 μB per formula unit.

---

8.
A plane-wave DFT calculation with GGA-PBE was carried out for an optimized crystal structure of NaZrF2.

Cell and atoms, written as CIF:
```
data_NaZrF2
_space_group_name_H-M_alt 'I -4 2 d'
_space_group_IT_number 122
_space_group_name_Hall 'I -4 2bw'
_cell_length_a 5.447
_cell_length_b 5.447
_cell_length_c 9.686
_cell_angle_alpha 90.00
_cell_angle_beta 90.00
_cell_angle_gamma 90.00
loop_
_atom_site_label
_atom_site_type_symbol
_atom_site_fract_x
_atom_site_fract_y
_atom_site_fract_z
Na1 Na 0.000 0.000 0.000
Zr1 Zr 0.000 0.000 0.500
F1 F 0.241 0.250 0.125
```

## Properties
Its density of states at the Fermi level is 0.495 states/eV per atom. The calculation puts the spin magnetization at 2.7 μB per formula unit. For the distance to the lowest polymorph of the same formula, the calculation gives 0.537 eV/atom. As for the uncorrected formation energy: -1.78 eV per atom.

---

9.
A plane-wave DFT calculation with GGA-PBE was carried out for an optimized crystal structure of FeCu2Pd2.

Cell and atoms, written as CIF:
```
data_FeCu2Pd2
_space_group_name_H-M_alt 'P 4/m b m'
_space_group_IT_number 127
_space_group_name_Hall '-P 4 2ab'
_cell_length_a 7.084
_cell_length_b 7.084
_cell_length_c 2.884
_cell_angle_alpha 90.00
_cell_angle_beta 90.00
_cell_angle_gamma 90.00
loop_
_atom_site_label
_atom_site_type_symbol
_atom_site_fract_x
_atom_site_fract_y
_atom_site_fract_z
Fe1 Fe 0.000 0.000 0.000
Cu1 Cu 0.155 0.345 0.500
Pd1 Pd 0.143 0.643 0.000
```

## Properties
Its density of states at the Fermi level is 0.761 states/eV per atom. Its energy of formation is 172 meV/atom. The calculation puts the spin magnetization at 3.5 μB per formula unit. For the distance to the lowest polymorph of the same formula, the calculation gives 0.231 eV/atom.

---

10.
A plane-wave DFT calculation with GGA-PBE was carried out for an optimized crystal structure of ThNpFe.

Cell and atoms, written as CIF:
```
data_ThNpFe
_space_group_name_H-M_alt 'C 1 2/m 1'
_space_group_IT_number 12
_space_group_name_Hall '-C 2y'
_cell_length_a 10.633
_cell_length_b 3.994
_cell_length_c 6.948
_cell_angle_alpha 90.00
_cell_angle_beta 120.49
_cell_angle_gamma 90.00
loop_
_atom_site_label
_atom_site_type_symbol
_atom_site_fract_x
_atom_site_fract_y
_atom_site_fract_z
Th1 Th 0.083 0.000 0.304
Np1 Np 0.238 0.000 0.893
Fe1 Fe 0.124 0.500 0.639
```

## Properties
Its density of states at the Fermi level is 1.552 states/eV per atom. Its energy of formation is 54 meV/atom. The calculation puts the spin magnetization at 0.0 μB per formula unit.